[1]
VASP calculation (GGA-PBE) on CdPSe2 after structural relaxation.

abc: 3.739 3.739 7.525
angles: 90.00 90.00 90.00
Last column: magnetic moment on the atom in μB.
Sites, in units of the cell vectors:
Cd1 0.500 0.500 0.500  0.01
P1 0.000 0.000 0.500  0.30
Se1 0.000 0.500 0.000  0.03
Se2 0.500 0.000 0.000  0.03

- Fermi-level density of states (states/eV/f.u.) = 2.841
- formation energy from raw total energies (eV per atom) = 0.42
- offset from the most stable computed form (eV per atom) = 0.456
- V (A^3/atom) = 26.3


[2]
VASP calculation (GGA-PBE) on Ac2SmAuO5 after structural relaxation.

abc: 6.172 6.977 6.977
angles: 90.00 90.00 90.00
Sites, in units of the cell vectors:
Ac1 0.500 0.662 0.162
Ac2 0.500 0.162 0.338
Ac3 0.500 0.838 0.662
Ac4 0.500 0.338 0.838
Sm1 0.000 0.500 0.500
Sm2 0.000 0.000 0.000
Au1 0.000 0.000 0.500
Au2 0.000 0.500 0.000
O1 0.500 0.500 0.500
O2 0.500 0.000 0.000
O3 0.226 0.182 0.682
O4 0.226 0.818 0.318
O5 0.226 0.318 0.182
O6 0.226 0.682 0.818
O7 0.774 0.182 0.682
O8 0.774 0.682 0.818
O9 0.774 0.818 0.318
O10 0.774 0.318 0.182

- formation energy from raw total energies (eV per atom) = -2.20
- V (A^3/atom) = 16.7


[3]
VASP calculation (GGA-PBE) on BaLi2HoCl8 after structural relaxation.

abc: 6.629 6.629 8.713
angles: 90.00 90.00 120.00
Last column: magnetic moment on the atom in μB.
Sites, in units of the cell vectors:
Ba1 0.000 0.000 0.000  0.00
Li1 0.667 0.333 0.270  0.00
Li2 0.333 0.667 0.730  0.00
Ho1 0.000 0.000 0.500  0.00
Cl1 0.333 0.667 0.000  0.31
Cl2 0.304 0.309 0.309  0.05
Cl3 0.691 0.995 0.309  0.05
Cl4 0.667 0.333 0.000  0.31
Cl5 0.309 0.005 0.691  0.05
Cl6 0.696 0.691 0.691  0.05
Cl7 0.995 0.304 0.691  0.05
Cl8 0.005 0.696 0.309  0.05

- Fermi-level density of states (states/eV/f.u.) = 13.730
- formation energy from raw total energies (eV per atom) = -1.85
- V (A^3/atom) = 27.6


[4]
VASP calculation (GGA-PBE) on Pm5AlNi4 after structural relaxation.

abc: 3.493 3.493 17.829
angles: 90.00 90.00 90.00
Sites, in units of the cell vectors:
Pm1 0.500 0.500 0.114
Pm2 0.500 0.500 0.306
Pm3 0.500 0.500 0.500
Pm4 0.500 0.500 0.694
Pm5 0.500 0.500 0.886
Al1 0.000 0.000 0.000
Ni1 0.000 0.000 0.210
Ni2 0.000 0.000 0.404
Ni3 0.000 0.000 0.596
Ni4 0.000 0.000 0.790

- final energy (eV/atom) = -5.332
- Fermi-level density of states (states/eV/f.u.) = 9.436
- V (A^3/atom) = 21.8


[5]
VASP calculation (GGA-PBE) on EuNiS after structural relaxation.

abc: 4.086 3.927 3.927
angles: 120.00 90.00 90.00
Last column: magnetic moment on the atom in μB.
Sites, in units of the cell vectors:
Eu1 0.667 0.667 0.333  6.85
Ni1 0.167 0.333 0.667  -0.13
S1 0.167 0.000 0.000  -0.05

- Fermi-level density of states (states/eV/f.u.) = 7.487
- formation energy from raw total energies (eV per atom) = -1.12
- V (A^3/atom) = 18.2


[6]
VASP calculation (GGA-PBE) on ScNiTeI2 after structural relaxation.

abc: 5.128 5.128 5.317
angles: 90.00 90.00 90.00
Last column: magnetic moment on the atom in μB.
Sites, in units of the cell vectors:
I1 0.000 0.500 0.000  -0.03
I2 0.500 0.000 0.000  -0.03
Ni1 0.000 0.000 0.000  -0.05
Te1 0.000 0.000 0.500  -0.05
Sc1 0.500 0.500 0.500  0.39

- Fermi-level density of states (states/eV/f.u.) = 4.811
- formation energy from raw total energies (eV per atom) = 0.02
- offset from the most stable computed form (eV per atom) = 0.000
- V (A^3/atom) = 28.0


no.,magnetization (Bohr magnetons per cell)
1,0.79
2,0.00
3,1.19
4,0.00
5,7.05
6,0.37